## CrNi2Pb (GGA-PBE)

Data for a geometry-optimized CrNi2Pb structure.

```
4
Lattice="4.042 0.000 0.000 0.000 4.038 0.000 0.000 0.000 3.685" Properties=species:S:1:pos:R:3 pbc="T T T"
Cr 0.000 2.019 1.842
Ni 0.000 0.000 0.000
Ni 2.021 2.019 0.000
Pb 2.021 0.000 1.842
```

Calculated values
The energy of formation comes out at 282 meV per atom. As for the space group: P4/mmm, No. 123.

---

## Rb6As2Pd (GGA-PBE)

Data for a geometry-optimized Rb6As2Pd structure.

```
9
Lattice="-4.744 -1.231 -3.632 -4.573 -3.489 2.032 -8.171 7.189 3.112" Properties=species:S:1:pos:R:3 pbc="T T T"
Rb -7.495 -0.925 -0.142
Rb -12.178 0.230 0.459
Rb -13.912 3.231 1.707
Rb -5.310 2.240 1.053
Rb -9.992 3.394 1.654
Rb -3.575 -0.761 -0.196
As -10.517 -2.642 -0.736
As -6.970 5.112 2.248
Pd 0.000 0.000 0.000
```

Calculated values
The energy of formation comes out at -237 meV per atom. As for the space group: R-3m, No. 166.

---

## Hf2NbBr (GGA-PBE)

Data for a geometry-optimized Hf2NbBr structure.

```
4
Lattice="0.000 3.453 3.453 3.453 0.000 3.453 3.453 3.453 0.000" Properties=species:S:1:pos:R:3 pbc="T T T"
Nb 3.453 3.453 3.453
Hf 1.726 1.726 1.726
Hf 5.179 5.179 5.179
Br 0.000 0.000 0.000
```

Calculated values
As for the raw formation energy: 420.9 meV/atom. The calculation puts the energy relative to the lowest polymorph listed for this composition at 0.00 kcal/mol of atoms. As for the space group: Fm-3m, No. 225.